First-principles (SCAN) data for Zr2PtRh at its PBEsol-relaxed geometry, as listed in Alexandria via LeMat-Bulk.

Cell and atoms, written as POSCAR:
```
Zr2PtRh
1.0
-0.7491 3.1582 0.6439
0.9464 -0.6871 4.4712
4.4015 1.1961 -0.7455
Zr Pt Rh
2 1 1
Direct
0.0000 0.0000 0.5000
0.0000 0.5000 0.0000
0.5000 0.0000 0.0000
0.5000 0.5000 0.5000
```

- ρ: 11.3 g/cm3
- Symmetry: P4/mmm (123)
- M_tot: 0.000 μB/f.u.
- E: -1.556 Ha/atom